{
  "formula": "La2ZrNbPd",
  "functional": "PBE",
  "state": "relaxed",
  "lattice_angstrom": [[-3.058, -3.907, -2.386], [4.106, -2.981, -0.381], [-1.105, -2.154, 4.944]],
  "species": ["Nb", "Zr", "Pd", "La", "La"],
  "fractional_positions": [[0.000, 0.000, 0.000], [0.000, 0.500, 0.000], [0.500, 0.500, 0.500], [0.000, 0.000, 0.500], [0.500, 0.000, 0.000]],
  "e_form_ev_per_atom": 0.57,
  "volume_a3_per_fu": 154.2,
  "crystal_system": "tetragonal",
  "space_group": "P4/mmm, No. 123"
}